Na3TbP2O8: relaxed, PBE.

Properties
The symmetry is Pca2_1 (29). Its crystal system is orthorhombic. The calculation puts the total energy at -758.739 eV per cell. The calculation puts the theoretical density at 3.979 g/cm3. The calculation puts the magnetic moment at 0.00 Bohr magnetons per cell.

```
Na3TbP2O8
1.0
13.964 0.000 0.000
0.000 5.334 0.000
0.000 0.000 18.728
Na Tb P O
24 8 16 64
direct
0.032 0.034 0.063
0.045 0.487 0.820
0.109 0.998 0.724
0.142 0.490 0.000
0.205 0.971 0.905
0.215 0.499 0.663
0.285 0.499 0.163
0.295 0.971 0.405
0.358 0.490 0.500
0.391 0.998 0.224
0.455 0.487 0.320
0.468 0.034 0.563
0.532 0.966 0.063
0.545 0.513 0.820
0.609 0.002 0.724
0.642 0.510 0.000
0.705 0.029 0.905
0.715 0.501 0.663
0.785 0.501 0.163
0.795 0.029 0.405
0.858 0.510 0.500
0.891 0.002 0.224
0.955 0.513 0.320
0.968 0.966 0.563
0.108 0.428 0.479
0.141 0.050 0.245
0.359 0.050 0.745
0.392 0.428 0.979
0.608 0.572 0.479
0.641 0.950 0.245
0.859 0.950 0.745
0.892 0.572 0.979
0.026 0.981 0.399
0.027 0.525 0.153
0.224 0.499 0.326
0.226 0.960 0.572
0.274 0.960 0.072
0.276 0.499 0.826
0.473 0.525 0.653
0.474 0.981 0.899
0.526 0.019 0.399
0.527 0.475 0.153
0.724 0.501 0.326
0.726 0.040 0.572
0.774 0.040 0.072
0.776 0.501 0.826
0.973 0.475 0.653
0.974 0.019 0.899
0.002 0.272 0.934
0.005 0.506 0.071
0.005 0.965 0.317
0.033 0.801 0.933
0.043 0.807 0.173
0.056 0.585 0.698
0.117 0.436 0.316
0.120 0.370 0.165
0.133 0.042 0.411
0.133 0.123 0.563
0.192 0.070 0.027
0.205 0.683 0.548
0.218 0.288 0.787
0.249 0.502 0.407
0.249 0.956 0.653
0.250 0.758 0.293
0.250 0.758 0.793
0.251 0.502 0.907
0.251 0.956 0.153
0.282 0.288 0.287
0.295 0.683 0.048
0.308 0.070 0.527
0.367 0.042 0.911
0.367 0.123 0.063
0.380 0.370 0.665
0.383 0.436 0.816
0.444 0.585 0.198
0.457 0.807 0.673
0.467 0.801 0.433
0.495 0.506 0.571
0.495 0.965 0.817
0.498 0.272 0.434
0.502 0.728 0.934
0.505 0.035 0.317
0.505 0.494 0.071
0.533 0.199 0.933
0.543 0.193 0.173
0.556 0.415 0.698
0.617 0.564 0.316
0.620 0.630 0.165
0.633 0.877 0.563
0.633 0.958 0.411
0.692 0.930 0.027
0.705 0.317 0.548
0.718 0.712 0.787
0.749 0.044 0.653
0.749 0.498 0.407
0.750 0.242 0.293
0.750 0.242 0.793
0.751 0.044 0.153
0.751 0.498 0.907
0.782 0.712 0.287
0.795 0.317 0.048
0.808 0.930 0.527
0.867 0.877 0.063
0.867 0.958 0.911
0.880 0.630 0.665
0.883 0.564 0.816
0.944 0.415 0.198
0.957 0.193 0.673
0.967 0.199 0.433
0.995 0.035 0.817
0.995 0.494 0.571
0.998 0.728 0.434
```

NaTbP2O8: relaxed, PBE.

Properties
The symmetry is I-4m2 (119). Its crystal system is tetragonal. The calculation puts the total energy at -83.564 eV per cell. The calculation puts the theoretical density at 4.055 g/cm3. The calculation puts the magnetic moment at 2.04 Bohr magnetons per cell.

```
NaTbP2O8
1.0
-3.509 3.509 3.091
3.509 -3.509 3.091
3.509 3.509 -3.091
Na Tb P O
1 1 2 8
direct
0.000 0.000 0.000
0.750 0.250 0.500
0.250 0.750 0.500
0.500 0.500 0.000
0.095 0.422 0.327
0.095 0.768 0.673
0.175 0.354 0.821
0.232 0.905 0.327
0.533 0.354 0.179
0.578 0.905 0.673
0.646 0.467 0.821
0.646 0.825 0.179
```

Question: Which of these has the highest magnetic moment?
Answer: NaTbP2O8

Question: magnetic moment of number 2 (NaTbP2O8)?
Answer: 2.04 Bohr magnetons per cell